{
  "formula": "Ce4Tl2Ir",
  "functional": "PBE",
  "state": "optimized geometry",
  "lattice": [[3.8013, 0.0000, 0.0000], [0.0000, 8.3749, 1.6712], [0.0000, -2.5013, 6.1181]],
  "species": ["Ce", "Ce", "Ce", "Ce", "Tl", "Tl", "Ir"],
  "fractional_positions": [[0.5000, 0.0585, 0.7797], [0.0000, 0.4200, 0.1368], [0.5000, 0.0843, 0.3632], [0.0000, 0.7228, 0.0061], [0.5000, 0.4306, 0.6910], [0.5000, 0.7122, 0.4519], [0.0000, 0.0714, 0.0715]],
  "vol_a3_per_atom": 30.1,
  "rho_g_cm3": 9.2,
  "delta_e_f_mev_per_atom": -208,
  "dos_ef_per_ev_cell": 19.97
}